Entry 1:
LiYVBi2 after structural relaxation. Source: Alexandria via LeMat-Bulk, functional PBE.

a = 5.3618 Å, b = 5.1375 Å, c = 5.3618 Å
α = 90.00°, β = 90.00°, γ = 90.00°
With the nearest neighbours (Å) after each atom.
Positions (direct):
1 Bi 0.5000 0.0000 0.0000  2 V 2.68
2 Bi 0.0000 0.0000 0.5000  2 V 2.68
3 Y 0.0000 0.5000 0.0000  2 V 2.57
4 Li 0.5000 0.5000 0.5000  8 Bi 3.71, 4 Y 3.79
5 V 0.0000 0.0000 0.0000  2 Y 2.57, 4 Bi 2.68

=====

Entry 2:
Zr2MnFe after structural relaxation. Source: Alexandria via LeMat-Bulk, functional PBE.

Properties
Offset from the most stable computed form ... 0.866 eV per formula unit

a = 2.9435 Å, b = 2.9435 Å, c = 7.8092 Å
α = 90.00°, β = 90.00°, γ = 89.97°
With the nearest neighbours (Å) after each atom.
Positions (direct):
1 Zr 0.0000 0.0000 0.9463  4 Mn 2.84-2.85, 4 Zr 2.94, 1 Fe 3.10
2 Fe 0.0000 0.0000 0.5498  4 Mn 2.38
3 Mn 0.5000 0.5000 0.6980  4 Fe 2.38
4 Zr 0.5000 0.5000 0.3058  4 Fe 2.82, 4 Zr 2.94, 1 Mn 3.06

=====

no.,calculated density (g/cm3),total magnetization (μB/atom),total DFT energy (no corrections) (eV/atom)
1,6.3,0.000,-4.8141
2,7.2,0.541,-8.5747